No. 1
Computed, not measured: a geometry-optimized BaSc2Pb2 structure at the PBE level of DFT.

It has space group P4/mbm (No. 127), with a = 9.1055 Å, b = 9.1055 Å, c = 3.4305 Å, α = 90.00°, β = 90.00° and γ = 90.00°. The asymmetric unit holds Ba at (0.0000, 0.0000, 0.0000), Sc at (0.1219, 0.3781, 0.0000) and Pb at (0.1701, 0.6701, 0.5000).

For the relative energy among the computed polymorphs, the calculation gives 87 meV per atom. As for the density of states at the Fermi level: 0.5895 states/eV per atom. For the size of the total moment, the calculation gives 0.60 μB per cell.

---

No. 2
Computed, not measured: a geometry-optimized BaSc2Pb2 structure at the PBE level of DFT.

It has space group I4/mmm (No. 139), with a = 4.9444 Å, b = 4.9444 Å, c = 13.3659 Å, α = 90.00°, β = 90.00° and γ = 90.00°. The asymmetric unit holds Ba at (0.0000, 0.0000, 0.0000), Sc at (0.0000, 0.5000, 0.2500) and Pb at (0.0000, 0.0000, 0.3755).

For the relative energy among the computed polymorphs, the calculation gives 0 meV per atom. As for the density of states at the Fermi level: 0.3611 states/eV per atom. For the size of the total moment, the calculation gives 0.00 μB per cell.

---

No. 3
Computed, not measured: a geometry-optimized Ba2Sc2Pb structure at the PBE level of DFT.

It has space group P4/mbm (No. 127), with a = 7.9626 Å, b = 7.9626 Å, c = 5.7056 Å, α = 90.00°, β = 90.00° and γ = 90.00°. The asymmetric unit holds Ba at (0.1708, 0.3292, 0.0000), Sc at (0.1433, 0.6433, 0.5000) and Pb at (0.0000, 0.0000, 0.5000).

As for the density of states at the Fermi level: 1.4162 states/eV per atom. For the size of the total moment, the calculation gives 0.00 μB per cell.

---

No. 4
Computed, not measured: a geometry-optimized Ba2ScPb structure at the PBE level of DFT.

It has space group F-43m (No. 216), with a = 8.3262 Å, b = 8.3262 Å, c = 8.3262 Å, α = 90.00°, β = 90.00° and γ = 90.00°. The asymmetric unit holds Ba at (0.0000, 0.0000, 0.0000), Ba at (0.2500, 0.2500, 0.2500), Sc at (0.2500, 0.2500, 0.7500) and Pb at (0.0000, 0.0000, 0.5000).

As for the density of states at the Fermi level: 1.0971 states/eV per atom. For the size of the total moment, the calculation gives 10.38 μB per cell.

---

No. 5
Computed, not measured: a geometry-optimized Ba2ScPb structure at the PBE level of DFT.

It has space group I-4m2 (No. 119), with a = 5.3077 Å, b = 5.3077 Å, c = 10.4460 Å, α = 90.00°, β = 90.00° and γ = 90.00°. The asymmetric unit holds Ba at (0.0000, 0.0000, 0.0000), Ba at (0.0000, 0.5000, 0.2500), Sc at (0.0000, 0.0000, 0.5000) and Pb at (0.0000, 0.5000, 0.7500).

As for the density of states at the Fermi level: 1.2428 states/eV per atom. For the size of the total moment, the calculation gives 3.76 μB per cell.

---

No. 6
Computed, not measured: a geometry-optimized Ba2ScPb structure at the PBE level of DFT.

It has space group Imm2 (No. 44), with a = 4.5439 Å, b = 5.8377 Å, c = 12.1108 Å, α = 90.00°, β = 90.00° and γ = 90.00°. The asymmetric unit holds Ba at (0.0000, 0.0000, 0.0000), Ba at (0.0000, 0.5000, 0.2037), Sc at (0.0000, 0.0000, 0.4091) and Pb at (0.0000, 0.5000, 0.7538).

As for the density of states at the Fermi level: 1.2639 states/eV per atom. For the size of the total moment, the calculation gives 0.02 μB per cell.

---

Record order is preserved below.
Formation energy: -0.33; -0.42; 0.02; 0.04; 0.00; -0.15 eV/atom
Record order is preserved below.
Final energy: -4.73; -4.82; -4.02; -3.43; -3.47; -3.62 eV/atom